# 1
Na2Ga2GeS6 at its PBEsol-relaxed geometry. Source: the Alexandria database, functional meta-GGA SCAN.

Its density of states at the Fermi level is 0.000 states/eV/atom. The total magnetization comes out at 0.0 Bohr magnetons per cell. As for the density: 2.936 g cm⁻³. Its uncorrected formation energy is -934.3 meV per atom.

The structure belongs to space group Fdd2 (No. 43); the cell edges are 12.524, 22.375 and 7.273 Å and the angles 90.00°, 90.00° and 90.00°. Symmetry generates all atoms from Na at (0.084, 0.204, 0.000), Ga at (0.110, 0.117, 0.535), Ge at (0.000, 0.000, 0.249), S at (0.046, 0.423, 0.575), S at (0.063, 0.360, 0.068) and S at (0.110, 0.272, 0.674).

# 2
Nb12Ga3Ge at its PBEsol-relaxed geometry. Source: the Alexandria database, functional meta-GGA SCAN.

Its density of states at the Fermi level is 1.322 states/eV/atom. The uncorrected energy comes out at -1.08016 hartree per atom. The total magnetization comes out at 0.0 Bohr magnetons per cell. As for the density: 8.564 g cm⁻³.

The structure belongs to space group Pmmm (No. 47); the cell edges are 5.134, 5.135 and 10.272 Å and the angles 90.00°, 90.00° and 90.00°. Symmetry generates all atoms from Nb at (0.000, 0.000, 0.124), Nb at (0.000, 0.000, 0.375), Nb at (0.251, 0.500, 0.000), Nb at (0.252, 0.500, 0.500), Nb at (0.500, 0.249, 0.251), Ga at (0.000, 0.500, 0.250), Ga at (0.500, 0.000, 0.000) and Ge at (0.500, 0.000, 0.500).

# 3
GaNiGe3 at its PBEsol-relaxed geometry. Source: the Alexandria database, functional meta-GGA SCAN.

Its density of states at the Fermi level is 0.522 states/eV/atom. The uncorrected energy comes out at -0.64878 hartree per atom. The total magnetization comes out at 0.0 Bohr magnetons per cell. As for the density: 6.100 g cm⁻³.

The structure belongs to space group Pm-3m (No. 221); the cell edges are 4.551, 4.551 and 4.551 Å and the angles 90.00°, 90.00° and 90.00°. Symmetry generates all atoms from Ga at (0.000, 0.000, 0.000), Ni at (0.500, 0.500, 0.500) and Ge at (0.000, 0.500, 0.500).

# 4
GaNi2Ge3 at its PBEsol-relaxed geometry. Source: the Alexandria database, functional meta-GGA SCAN.

Its density of states at the Fermi level is 0.206 states/eV/atom. The uncorrected energy comes out at -0.65859 hartree per atom. The total magnetization comes out at 0.0 Bohr magnetons per cell. As for the density: 7.812 g cm⁻³.

The structure belongs to space group C222_1 (No. 20); the cell edges are 5.666, 10.747 and 5.656 Å and the angles 90.00°, 90.00° and 90.00°. Symmetry generates all atoms from Ga at (0.249, 0.000, 0.000), Ni at (0.000, 0.134, 0.250), Ni at (0.000, 0.365, 0.250), Ge at (0.156, 0.253, 0.593) and Ge at (0.250, 0.000, 0.500).

# 5
Ga2Ni7Ge2 at its PBEsol-relaxed geometry. Source: the Alexandria database, functional meta-GGA SCAN.

Its density of states at the Fermi level is 0.407 states/eV/atom. The uncorrected energy comes out at -0.62572 hartree per atom. The total magnetization comes out at 0.0 Bohr magnetons per cell. As for the density: 8.778 g cm⁻³.

The structure belongs to space group P-6m2 (No. 187); the cell edges are 3.9350, 3.9350 and 9.8124 Å and the angles 90.00°, 90.00° and 120.00°. Symmetry generates all atoms from Ga at (0.0000, 0.0000, 0.0000), Ga at (0.0000, 0.0000, 0.5000), Ni at (0.0000, 0.0000, 0.2479), Ni at (0.3333, 0.6667, 0.5000), Ni at (0.6667, 0.3333, 0.1241), Ni at (0.6667, 0.3333, 0.3745) and Ge at (0.3333, 0.6667, 0.2389).

# 6
Sm2Ga9NiGe2 at its PBEsol-relaxed geometry. Source: the Alexandria database, functional meta-GGA SCAN.

Its density of states at the Fermi level is 0.260 states/eV/atom. The uncorrected energy comes out at -0.77817 hartree per atom. The total magnetization comes out at 0.0 Bohr magnetons per cell. As for the density: 7.392 g cm⁻³.

The structure belongs to space group P4/nmm (No. 129, origin choice 2); the cell edges are 5.873, 5.873 and 14.746 Å and the angles 90.00°, 90.00° and 90.00°. Symmetry generates all atoms from Sm at (0.250, 0.750, 0.247), Ga at (0.024, 0.024, 0.088), Ga at (0.027, 0.027, 0.416), Ga at (0.250, 0.250, 0.658), Ni at (0.250, 0.750, 0.000), Ge at (0.250, 0.250, 0.261) and Ge at (0.250, 0.250, 0.824).

# 7
GaGeO3 at its PBEsol-relaxed geometry. Source: the Alexandria database, functional meta-GGA SCAN.

Its density of states at the Fermi level is 0.246 states/eV/atom. The total magnetization comes out at 0.0 Bohr magnetons per cell. As for the density: 6.197 g cm⁻³. Its uncorrected formation energy is -1074.0 meV per atom.

The structure belongs to space group Pm-3m (No. 221); the cell edges are 3.709, 3.709 and 3.709 Å and the angles 90.00°, 90.00° and 90.00°. Symmetry generates all atoms from Ga at (0.000, 0.000, 0.000), Ge at (0.500, 0.500, 0.500) and O at (0.000, 0.500, 0.500).

# 8
GaGeO2 at its PBEsol-relaxed geometry. Source: the Alexandria database, functional meta-GGA SCAN.

Its density of states at the Fermi level is 0.332 states/eV/atom. The total magnetization comes out at 0.0 Bohr magnetons per cell. As for the density: 6.380 g cm⁻³. Its uncorrected formation energy is -251.3 meV per atom.

The structure belongs to space group Fm-3m (No. 225); the cell edges are 5.662, 5.662 and 5.662 Å and the angles 90.00°, 90.00° and 90.00°. Symmetry generates all atoms from Ga at (0.000, 0.000, 0.000), Ge at (0.000, 0.000, 0.500) and O at (0.250, 0.250, 0.250).